# NaMnNi, optimized geometry, DFT PBE-GGA
data_NaMnNi
_chemical_formula_sum 'Na4 Mn4 Ni4'
_space_group_name_H-M_alt 'F -4 3 m'
_space_group_IT_number 216
_space_group_name_Hall 'F -4 2 3'
_cell_length_a 6.092
_cell_length_b 6.092
_cell_length_c 6.092
_cell_angle_alpha 90.00
_cell_angle_beta 90.00
_cell_angle_gamma 90.00
loop_
_atom_site_label
_atom_site_type_symbol
_atom_site_fract_x
_atom_site_fract_y
_atom_site_fract_z
Na1 Na 0.000 0.000 0.000
Mn1 Mn 0.250 0.250 0.250
Ni1 Ni 0.000 0.000 0.500
# - Magnetization: 4.302 μB per formula unit
# - Energy of formation from the pure elements: 87.3 kJ per mole of atoms
# - Excess energy over the best structure of this formula in the dataset: 64.8 kJ per mole of atoms
# - N(E_F): 1.20 states/eV/f.u.
# - Final energy: -4.518 eV per atom